Entry 1:
## Pa3Os2 (PBE)

Data for an optimized crystal structure of Pa3Os2.

Energy of formation, eV per atom: -0.26
Energy, eV/cell: -208.9

Cell and atoms, written as POSCAR:
```
Pa3Os2
1.0
11.4285 0.0000 0.0000
0.0000 3.8566 0.0000
0.0000 0.0000 10.5511
Pa Os
12 8
Cartesian
0.6857 0.9642 1.4962
1.4717 2.8925 5.8142
2.5207 0.9642 8.5973
3.1936 2.8925 3.3218
4.2426 0.9642 0.5386
5.0285 2.8925 6.7718
6.4000 0.9642 3.7793
7.1859 2.8925 10.0125
8.2350 0.9642 7.2294
8.9078 2.8925 1.9538
9.9569 0.9642 4.7369
10.7428 2.8925 9.0549
0.0366 0.9642 7.1913
1.9470 2.8925 10.4959
3.7672 0.9642 5.2204
5.6777 2.8925 1.9158
5.7509 0.9642 8.6353
7.6613 2.8925 5.3308
9.4815 0.9642 0.0552
11.3919 2.8925 3.3598
```

---

Entry 2:
## MgPb2Se (PBE)

Data for an optimized crystal structure of MgPb2Se.

ΔE_f (raw), eV/atom: -0.254
Energy, eV/cell: -13.5

Cell and atoms, written as POSCAR:
```
MgPb2Se
1.0
5.6363 -1.8496 0.0000
5.6363 1.8496 0.0000
-3.7383 0.0000 5.3465
Mg Pb Se
1 2 1
Cartesian
0.0000 0.0000 0.0000
0.3596 0.0000 3.1224
3.2313 0.0000 1.3291
3.4258 0.0000 4.3390
```

---

Entry 3:
## Cs2HfNp2Te6 (PBE)

Data for an optimized crystal structure of Cs2HfNp2Te6.

ΔE_f (raw), eV/atom: -0.865
Energy, eV/cell: -65.9

Cell and atoms, written as POSCAR:
```
Cs2HfNp2Te6
1.0
3.8070 -6.5572 0.0000
3.8070 6.5572 0.0000
-2.6632 0.0000 9.1685
Cs Hf Np Te
2 1 2 6
Cartesian
3.8070 4.3096 0.0000
3.8070 -4.3096 0.0000
-1.3316 0.0000 4.5843
2.4754 2.2005 4.5843
2.4754 -2.2005 4.5843
-0.1224 2.0459 6.3024
1.0713 0.0000 2.8864
-0.1224 -2.0459 6.3024
5.0732 2.0459 2.8661
3.8795 0.0000 6.2821
5.0732 -2.0459 2.8661
```

---

Entry 4:
## Na5DyHg6 (PBE)

Data for an optimized crystal structure of Na5DyHg6.

Energy of formation, eV per atom: -0.26
Energy, eV/cell: -16.1

Cell and atoms, written as POSCAR:
```
Na5DyHg6
1.0
5.2882 0.0000 0.0000
0.0000 7.4053 0.0000
-2.6343 0.0000 7.8798
Na Dy Hg
5 1 6
Cartesian
0.0000 0.0000 0.0000
0.0050 3.7027 5.1396
0.0064 0.0000 5.2532
2.6475 0.0000 2.6266
2.6489 3.7027 2.7402
0.0000 3.7027 0.0000
0.0051 1.8212 2.5149
0.0051 5.5842 2.5149
2.6441 1.9946 0.0000
2.6441 5.4107 0.0000
2.6488 1.8212 5.3649
2.6488 5.5842 5.3649
```

---

Entry 5:
## Mg2Hg13 (PBE)

Data for an optimized crystal structure of Mg2Hg13.

Energy of formation, eV per atom: 0.06
Energy, eV/cell: -6.3

Cell and atoms, written as POSCAR:
```
Mg2Hg13
1.0
4.2001 2.4249 7.9617
-4.2001 2.4249 7.9617
0.0000 -4.8498 7.9617
Mg Hg
2 13
Cartesian
0.0000 0.0000 4.8299
0.0000 0.0000 19.0552
0.0000 0.0000 0.0000
0.0000 -2.7975 5.4912
-2.4227 1.3987 5.4912
0.0000 -1.7494 8.7526
-1.5150 0.8747 8.7526
-2.4227 -1.3987 18.3939
-1.5150 -0.8747 15.1325
1.5150 0.8747 8.7526
2.4227 1.3987 5.4912
1.5151 -0.8747 15.1325
0.0000 1.7494 15.1325
2.4227 -1.3987 18.3939
0.0000 2.7975 18.3939
```

---

Entry 6:
## PmDy2Ho3Tm6 (PBE)

Data for an optimized crystal structure of PmDy2Ho3Tm6.

Energy of formation, eV per atom: 0.02
Energy, eV/cell: -54.2

Cell and atoms, written as POSCAR:
```
PmDy2Ho3Tm6
1.0
3.0493 -5.2749 0.0000
3.0493 5.2749 0.0000
-2.0255 0.0000 11.4599
Pm Dy Ho Tm
1 2 3 6
Cartesian
0.0000 0.0000 0.0000
3.0493 1.7582 0.0000
3.0493 -1.7582 0.0000
2.0365 3.5147 5.7299
2.0365 0.0000 5.7299
2.0365 -3.5147 5.7299
1.0247 1.7601 2.8814
0.0031 0.0000 8.5792
1.0247 -1.7601 2.8814
3.0484 1.7601 8.5785
4.0700 0.0000 2.8806
3.0484 -1.7601 8.5785
```

---

Entry 7:
## Ta2CuBr (PBE)

Data for an optimized crystal structure of Ta2CuBr.

ΔE_f (raw), eV/atom: 0.583
Distance to the lowest polymorph of the same formula, eV/atom: 0.316
Energy, eV/cell: -27.1

Cell and atoms, written as POSCAR:
```
Ta2CuBr
1.0
2.9760 0.0000 0.0000
0.0000 4.3536 0.0000
-1.0575 0.0000 5.3705
Ta Cu Br
2 1 1
Cartesian
0.4051 0.0000 1.2630
1.5134 0.0000 4.1076
1.4880 2.1768 0.0000
-0.5287 2.1768 2.6853
```

---

Entry 8:
## RbNaSiAu2 (PBE)

Data for an optimized crystal structure of RbNaSiAu2.

ΔE_f (raw), eV/atom: -0.151
Energy, eV/cell: -15.0

Cell and atoms, written as POSCAR:
```
RbNaSiAu2
1.0
4.9343 0.0000 0.0000
0.0000 4.9343 0.0000
0.0000 0.0000 5.5380
Rb Na Si Au
1 1 1 2
Cartesian
0.0000 0.0000 0.0000
2.4672 2.4672 0.0000
2.4672 2.4672 2.7690
0.0000 2.4672 2.7690
2.4672 0.0000 2.7690
```

---

- Among the records above, which one has the highest energy?
  Mg2Hg13

---

Copy entry 3 word for word.
## Cs2HfNp2Te6 (PBE)

Data for an optimized crystal structure of Cs2HfNp2Te6.

ΔE_f (raw), eV/atom: -0.865
Energy, eV/cell: -65.9

Cell and atoms, written as POSCAR:
```
Cs2HfNp2Te6
1.0
3.8070 -6.5572 0.0000
3.8070 6.5572 0.0000
-2.6632 0.0000 9.1685
Cs Hf Np Te
2 1 2 6
Cartesian
3.8070 4.3096 0.0000
3.8070 -4.3096 0.0000
-1.3316 0.0000 4.5843
2.4754 2.2005 4.5843
2.4754 -2.2005 4.5843
-0.1224 2.0459 6.3024
1.0713 0.0000 2.8864
-0.1224 -2.0459 6.3024
5.0732 2.0459 2.8661
3.8795 0.0000 6.2821
5.0732 -2.0459 2.8661
```